First-principles (PBE) data for a relaxed TbSm2Mg4 crystal, as listed in the Alexandria database.

Lattice parameters (Å, degrees): 8.2462 8.2462 8.2462 141.61 141.61 55.42
Sites, in units of the cell vectors:
Tb  0.0000  0.0000  0.0000
Sm  0.2524  0.2524  0.0000
Sm  0.7476  0.7476  0.0000
Mg  0.1149  0.6149  0.5000
Mg  0.3851  0.8851  0.5000
Mg  0.6149  0.1149  0.5000
Mg  0.8851  0.3851  0.5000

Values from the calculation:
ΔE to the lowest computed polymorph = 0.0 meV/atom
Size of the total moment = 0.000 μB/atom
Space group = I4/mmm, No. 139
Crystal system = tetragonal
ΔH_f (0 K) = 124 meV/atom

First-principles (PBE) data for a relaxed TiSnS2 crystal, as listed in the Alexandria database.

Lattice parameters (Å, degrees): 7.4358 7.4358 15.1626 102.21 102.21 93.17
Sites, in units of the cell vectors:
Ti  0.1017  0.7401  0.8193
Ti  0.2576  0.5018  0.6761
Ti  0.2599  0.8983  0.6807
Ti  0.4982  0.7424  0.8239
Ti  0.5018  0.2576  0.1761
Ti  0.7401  0.1017  0.3193
Ti  0.7424  0.4982  0.3239
Ti  0.8983  0.2599  0.1807
Sn  0.1048  0.8282  0.0753
Sn  0.1718  0.8952  0.4247
Sn  0.2773  0.3736  0.8594
Sn  0.3736  0.2773  0.3594
Sn  0.6264  0.7227  0.6406
Sn  0.7227  0.6264  0.1406
Sn  0.8282  0.1048  0.5753
Sn  0.8952  0.1718  0.9247
S  0.0131  0.5578  0.2656
S  0.0164  0.9836  0.7500
S  0.1464  0.1885  0.0875
S  0.1885  0.1464  0.5875
S  0.2473  0.6555  0.5466
S  0.3445  0.7527  0.9534
S  0.4422  0.9869  0.2344
S  0.4476  0.5524  0.2500
S  0.5524  0.4476  0.7500
S  0.5578  0.0131  0.7656
S  0.6555  0.2473  0.0466
S  0.7527  0.3445  0.4534
S  0.8115  0.8536  0.4125
S  0.8536  0.8115  0.9125
S  0.9836  0.0164  0.2500
S  0.9869  0.4422  0.7344

Values from the calculation:
Size of the total moment = 0.124 μB/atom
Space group = C2/c, No. 15
Crystal system = monoclinic
Formation energy from raw total energies = -0.689 eV/atom

First-principles (PBE) data for a relaxed NaHfP2O crystal, as listed in the Alexandria database.

Lattice parameters (Å, degrees): 5.2225 5.2225 4.0150 90.00 90.00 90.00
Sites, in units of the cell vectors:
Na  0.0000  0.0000  0.0000
Hf  0.5000  0.5000  0.5000
P  0.0000  0.5000  0.5000
P  0.5000  0.0000  0.5000
O  0.5000  0.5000  0.0000

Values from the calculation:
ΔE to the lowest computed polymorph = 0.0 meV/atom
Size of the total moment = 0.429 μB/atom
Space group = P4/mmm, No. 123
Crystal system = tetragonal
Formation energy from raw total energies = -0.735 eV/atom